1.
## LiBiTeMo (PBE-GGA)

Data for a geometry-optimized LiBiTeMo structure.

Lattice parameters (Å, degrees): 4.8893 4.8893 4.8893 60.00 60.00 60.00
Sites, in units of the cell vectors:
Bi: 0.0000 0.0000 0.0000
Li: 0.7500 0.7500 0.7500
Mo: 0.2500 0.2500 0.2500
Te: 0.5000 0.5000 0.5000

Output
* polymorph energy (0 for the lowest one): 0.000 eV per atom
* crystal system: cubic

***

2.
## LiBiTeMo (PBE-GGA)

Data for a geometry-optimized LiBiTeMo structure.

Lattice parameters (Å, degrees): 4.9806 4.9806 4.9806 60.00 60.00 60.00
Sites, in units of the cell vectors:
Bi: 0.5000 0.5000 0.5000
Li: 0.7500 0.7500 0.7500
Mo: 0.0000 0.0000 0.0000
Te: 0.2500 0.2500 0.2500

Output
* polymorph energy (0 for the lowest one): 0.470 eV per atom
* crystal system: cubic

***

3.
## Li2NbBi (PBE-GGA)

Data for a geometry-optimized Li2NbBi structure.

Lattice parameters (Å, degrees): 4.7807 4.7807 4.7807 60.00 60.00 60.00
Each line ends with the local moment (μB).
Sites, in units of the cell vectors:
Bi: 0.5000 0.5000 0.5000  -0.03
Li: 0.0000 0.0000 0.0000  0.02
Li: 0.7500 0.7500 0.7500  0.00
Nb: 0.2500 0.2500 0.2500  1.64

Output
* crystal system: cubic

***

4.
## Li4NbBiO6 (PBE-GGA)

Data for a geometry-optimized Li4NbBiO6 structure.

Lattice parameters (Å, degrees): 5.5354 5.5354 5.2365 99.58 99.58 120.48
Sites, in units of the cell vectors:
Bi: 0.8351 0.1649 0.0000
Li: 0.5018 0.4982 0.0000
Li: 0.0239 0.9761 0.5000
Li: 0.6447 0.3553 0.5000
Li: 0.3409 0.6591 0.5000
Nb: 0.1680 0.8320 0.0000
O: 0.9289 0.6155 0.2314
O: 0.5311 0.8958 0.2418
O: 0.2560 0.2191 0.2440
O: 0.7809 0.7440 0.7560
O: 0.1042 0.4689 0.7582
O: 0.3845 0.0711 0.7686

Output
* crystal system: monoclinic

***

5.
## LiNbTcBi (PBE-GGA)

Data for a geometry-optimized LiNbTcBi structure.

Lattice parameters (Å, degrees): 4.5826 4.5826 4.5826 60.00 60.00 60.00
Sites, in units of the cell vectors:
Bi: 0.0000 0.0000 0.0000
Li: 0.7500 0.7500 0.7500
Nb: 0.5000 0.5000 0.5000
Tc: 0.2500 0.2500 0.2500

Output
* polymorph energy (0 for the lowest one): 0.000 eV per atom
* crystal system: cubic

***

6.
## LiNi3Bi5 (PBE-GGA)

Data for a geometry-optimized LiNi3Bi5 structure.

Lattice parameters (Å, degrees): 5.5235 5.5235 8.2432 90.00 90.00 120.00
Sites, in units of the cell vectors:
Bi: 0.6667 0.3333 0.2273
Bi: 0.3333 0.6667 0.2273
Bi: 0.0000 0.0000 0.5000
Bi: 0.6667 0.3333 0.7727
Bi: 0.3333 0.6667 0.7727
Li: 0.0000 0.0000 0.0000
Ni: 0.5000 0.0000 0.5000
Ni: 0.0000 0.5000 0.5000
Ni: 0.5000 0.5000 0.5000

Output
* crystal system: hexagonal

***

M_tot
In order: 1.047 1.925 2.067 0.000 0.001 0.001
Unit: μB/f.u.
Electronic total energy
In order: -0.35439 -0.31986 -0.31467 -0.46078 -0.48595 -0.31914
Unit: Ry per atom